1.
# ScRuRh | the Alexandria database | PBE-GGA | optimized geometry
data_ScRuRh
_chemical_formula_sum 'Sc1 Ru1 Rh1'
_cell_length_a 4.2841
_cell_length_b 4.2841
_cell_length_c 4.2841
_cell_angle_alpha 60.00
_cell_angle_beta 60.00
_cell_angle_gamma 60.00
_symmetry_space_group_name_H-M 'P 1'
_symmetry_Int_Tables_number 1
loop_
_symmetry_equiv_pos_as_xyz
'x,y,z'
loop_
_atom_site_label
_atom_site_type_symbol
_atom_site_fract_x
_atom_site_fract_y
_atom_site_fract_z
_atom_site_occupancy
Rh1 Rh 0.5000 0.5000 0.5000 1
Ru1 Ru 0.7500 0.7500 0.7500 1
Sc1 Sc 0.0000 0.0000 0.0000 1
# * ΔE_f: 0.0491 eV/atom
# * total DFT energy (no corrections): -22.81 eV for the cell shown
# * energy above the most stable polymorph in this dataset: 9.68 kcal/mol of atoms

2.
# Tb2Ga2Tc | the Alexandria database | PBE-GGA | optimized geometry
data_Tb2Ga2Tc
_chemical_formula_sum 'Tb4 Ga4 Tc2'
_cell_length_a 4.1352
_cell_length_b 6.3828
_cell_length_c 9.1136
_cell_angle_alpha 88.05
_cell_angle_beta 76.89
_cell_angle_gamma 71.10
_symmetry_space_group_name_H-M 'P 1'
_symmetry_Int_Tables_number 1
loop_
_symmetry_equiv_pos_as_xyz
'x,y,z'
loop_
_atom_site_label
_atom_site_type_symbol
_atom_site_fract_x
_atom_site_fract_y
_atom_site_fract_z
_atom_site_occupancy
Tb1 Tb 0.6650 0.3529 0.3171 1
Tb2 Tb 0.9294 0.2469 0.8943 1
Tb3 Tb 0.3350 0.6471 0.6829 1
Tb4 Tb 0.0706 0.7531 0.1057 1
Ga1 Ga 0.0535 0.3201 0.5728 1
Ga2 Ga 0.6258 0.8837 0.8646 1
Ga3 Ga 0.9465 0.6799 0.4272 1
Ga4 Ga 0.3742 0.1163 0.1354 1
Tc1 Tc 0.6828 0.0514 0.5829 1
Tc2 Tc 0.3172 0.9486 0.4171 1
# * ΔE_f: -0.4186 eV/atom
# * total DFT energy (no corrections): -55.55 eV for the cell shown

3.
# TcHgCl2 | the Alexandria database | PBE-GGA | optimized geometry
data_TcHgCl2
_chemical_formula_sum 'Tc1 Hg1 Cl2'
_cell_length_a 5.0445
_cell_length_b 5.0445
_cell_length_c 5.0445
_cell_angle_alpha 60.00
_cell_angle_beta 60.00
_cell_angle_gamma 60.00
_symmetry_space_group_name_H-M 'P 1'
_symmetry_Int_Tables_number 1
loop_
_symmetry_equiv_pos_as_xyz
'x,y,z'
loop_
_atom_site_label
_atom_site_type_symbol
_atom_site_fract_x
_atom_site_fract_y
_atom_site_fract_z
_atom_site_occupancy
Cl1 Cl 0.0000 0.0000 0.0000 1
Cl2 Cl 0.2500 0.2500 0.2500 1
Hg1 Hg 0.5000 0.5000 0.5000 1
Tc1 Tc 0.7500 0.7500 0.7500 1
# * total DFT energy (no corrections): -11.96 eV for the cell shown
# * energy above the most stable polymorph in this dataset: 17.21 kcal/mol of atoms
# * formation energy (no corrections): 600 meV/atom

4.
# ScRh2Se | the Alexandria database | PBE-GGA | optimized geometry
data_ScRh2Se
_chemical_formula_sum 'Sc1 Rh2 Se1'
_cell_length_a 8.2658
_cell_length_b 8.2658
_cell_length_c 8.2658
_cell_angle_alpha 21.71
_cell_angle_beta 21.71
_cell_angle_gamma 21.71
_symmetry_space_group_name_H-M 'P 1'
_symmetry_Int_Tables_number 1
loop_
_symmetry_equiv_pos_as_xyz
'x,y,z'
loop_
_atom_site_label
_atom_site_type_symbol
_atom_site_fract_x
_atom_site_fract_y
_atom_site_fract_z
_atom_site_occupancy
Rh1 Rh 0.0021 0.0021 0.0021 1
Rh2 Rh 0.4979 0.4979 0.4979 1
Sc1 Sc 0.2500 0.2500 0.2500 1
Se1 Se 0.7500 0.7500 0.7500 1
# * total DFT energy (no corrections): -25.74 eV for the cell shown
# * energy above the most stable polymorph in this dataset: 7.80 kcal/mol of atoms
# * formation energy (no corrections): -304 meV/atom